Density functional theory data (GGA-PBE) for AlPdN2F after structural relaxation.

The space group is P4/mmm (No. 123) and the conventional cell measures 3.9763, 3.9763 and 4.1772 Å, with angles of 90.00, 90.00 and 90.00 degrees. The distinct sites, in fractional coordinates, are Al at (0.0000, 0.0000, 0.0000), Pd at (0.5000, 0.5000, 0.5000), N at (0.0000, 0.5000, 0.5000) and F at (0.5000, 0.5000, 0.0000).

The value obtained for the uncorrected formation energy is 853 meV per atom. The excess energy over the best structure of this formula in the dataset comes out at 902 meV per atom. The energy comes out at -23.2 eV per cell.